Density functional theory data (PBE) for a relaxed structure of HCl2F8.

abc: 5.686 6.437 5.886
angles: 120.18 94.04 71.35
Atoms (fractional coordinates):
H (0.986, 0.003, 0.020)
Cl (0.264, 0.474, 0.769)
Cl (0.738, 0.539, 0.230)
F (0.229, 0.607, 0.117)
F (0.755, 0.420, 0.885)
F (0.673, 0.826, 0.277)
F (0.289, 0.346, 0.429)
F (0.184, 0.809, 0.821)
F (0.317, 0.180, 0.727)
F (0.724, 0.661, 0.566)
F (0.842, 0.135, 0.158)

Properties
Density in g/cm3: 2.12
Spin magnetization in μB/cell: 0.97
Energy above the most stable polymorph in this dataset in eV/atom: 0.000
Symmetry: No. 1
D(E_F) in states/eV/atom: 0.26